one | # TmNpNi4 (PBE, optimized geometry)
data_TmNpNi4
_chemical_formula_sum 'Tm2 Np2 Ni8'
_cell_length_a 4.9867
_cell_length_b 4.9867
_cell_length_c 8.2747
_cell_angle_alpha 90.00
_cell_angle_beta 90.00
_cell_angle_gamma 120.00
_space_group_name_H-M_alt 'P 1'
_space_group_IT_number 1
loop_
_space_group_symop_operation_xyz
'x,y,z'
loop_
_atom_site_label
_atom_site_type_symbol
_atom_site_fract_x
_atom_site_fract_y
_atom_site_fract_z
_atom_site_occupancy
Tm1 Tm 0.3333 0.6667 0.4260 1
Tm2 Tm 0.6667 0.3333 0.5740 1
Np1 Np 0.6667 0.3333 0.9625 1
Np2 Np 0.3333 0.6667 0.0375 1
Ni1 Ni 0.0000 0.0000 0.5000 1
Ni2 Ni 0.0000 0.0000 0.0000 1
Ni3 Ni 0.8349 0.1651 0.2529 1
Ni4 Ni 0.8349 0.6697 0.2529 1
Ni5 Ni 0.3303 0.1651 0.2529 1
Ni6 Ni 0.1651 0.8349 0.7471 1
Ni7 Ni 0.1651 0.3303 0.7471 1
Ni8 Ni 0.6697 0.8349 0.7471 1
# - spin magnetization (μB/cell) = 7.3

two | # TmNpNi4 (PBE, optimized geometry)
data_TmNpNi4
_chemical_formula_sum 'Tm1 Np1 Ni4'
_cell_length_a 5.0251
_cell_length_b 5.0251
_cell_length_c 5.0251
_cell_angle_alpha 60.00
_cell_angle_beta 60.00
_cell_angle_gamma 60.00
_space_group_name_H-M_alt 'P 1'
_space_group_IT_number 1
loop_
_space_group_symop_operation_xyz
'x,y,z'
loop_
_atom_site_label
_atom_site_type_symbol
_atom_site_fract_x
_atom_site_fract_y
_atom_site_fract_z
_atom_site_occupancy
Np1 Np 0.2500 0.2500 0.2500 1
Ni1 Ni 0.6247 0.6247 0.1258 1
Ni2 Ni 0.6247 0.1258 0.6247 1
Ni3 Ni 0.6247 0.6247 0.6247 1
Ni4 Ni 0.1258 0.6247 0.6247 1
Tm1 Tm 0.0000 0.0000 0.0000 1
# - spin magnetization (μB/cell) = 3.8

one is favored, and the nearest alternative lies 0.055 eV/atom above it.

one | # Zr2NpNi (PBE, optimized geometry)
data_Zr2NpNi
_chemical_formula_sum 'Zr2 Np1 Ni1'
_cell_length_a 3.0866
_cell_length_b 4.9860
_cell_length_c 4.9860
_cell_angle_alpha 90.00
_cell_angle_beta 90.00
_cell_angle_gamma 90.00
_space_group_name_H-M_alt 'P 1'
_space_group_IT_number 1
loop_
_space_group_symop_operation_xyz
'x,y,z'
loop_
_atom_site_label
_atom_site_type_symbol
_atom_site_fract_x
_atom_site_fract_y
_atom_site_fract_z
_atom_site_occupancy
Np1 Np 0.5000 0.5000 0.5000 1
Ni1 Ni 0.5000 0.0000 0.0000 1
Zr1 Zr 0.0000 0.0000 0.5000 1
Zr2 Zr 0.0000 0.5000 0.0000 1
# - spin magnetization (μB/cell) = 3.4

two | # Zr2NpNi (PBE, optimized geometry)
data_Zr2NpNi
_chemical_formula_sum 'Zr2 Np1 Ni1'
_cell_length_a 3.1964
_cell_length_b 3.1964
_cell_length_c 7.7962
_cell_angle_alpha 90.00
_cell_angle_beta 90.00
_cell_angle_gamma 90.00
_space_group_name_H-M_alt 'P 1'
_space_group_IT_number 1
loop_
_space_group_symop_operation_xyz
'x,y,z'
loop_
_atom_site_label
_atom_site_type_symbol
_atom_site_fract_x
_atom_site_fract_y
_atom_site_fract_z
_atom_site_occupancy
Np1 Np 0.5000 0.5000 0.0000 1
Ni1 Ni 0.5000 0.5000 0.5000 1
Zr1 Zr 0.0000 0.0000 0.7089 1
Zr2 Zr 0.0000 0.0000 0.2911 1
# - spin magnetization (μB/cell) = 3.7

two is favored, and the nearest alternative lies 0.120 eV/atom above it.